This record from Alexandria via LeMat-Bulk describes an optimized crystal structure of Y3BiSe2. The functional is PBE.

Results
The space-group type is No. 63. The uncorrected formation energy is -1.229 eV per atom. The raw total energy comes out at -75.2 eV for the cell shown.

Cell: 4.377 7.439 10.799 Å, 90.00 90.00 107.11°
Fractional coordinates of all 12 atoms:
Se1 0.000 0.000 0.500
Se2 0.532 0.064 0.250
Se3 0.468 0.936 0.750
Se4 0.000 0.000 0.000
Y1 0.649 0.298 0.049
Y2 0.351 0.702 0.549
Y3 0.915 0.830 0.250
Y4 0.351 0.702 0.951
Y5 0.649 0.298 0.451
Y6 0.085 0.170 0.750
Bi1 0.251 0.503 0.250
Bi2 0.749 0.497 0.750